Here is a relaxed BiRu2O crystal from Alexandria via LeMat-Bulk. Energies are from GGA-PBE.

The structure in CIF format:
```
data_BiRu2O
_cell_length_a 6.2586
_cell_length_b 6.2586
_cell_length_c 6.2586
_cell_angle_alpha 90.00
_cell_angle_beta 90.00
_cell_angle_gamma 90.00
_symmetry_space_group_name_H-M 'F m -3 m'
_symmetry_Int_Tables_number 225
_symmetry_space_group_name_Hall '-F 4 2 3'
loop_
_atom_site_label
_atom_site_type_symbol
_atom_site_fract_x
_atom_site_fract_y
_atom_site_fract_z
Bi1 Bi 0.0000 0.0000 0.0000
Ru1 Ru 0.2500 0.2500 0.2500
O1 O 0.0000 0.0000 0.5000
```

## Properties
ΔE_f (raw) = 0.72 eV/atom
Polymorph energy (0 for the lowest one) = 581 meV per atom

Here is a relaxed K3MnI crystal from Alexandria via LeMat-Bulk. Energies are from GGA-PBE.

The structure in CIF format:
```
data_K3MnI
_cell_length_a 6.6930
_cell_length_b 6.6930
_cell_length_c 6.6930
_cell_angle_alpha 90.00
_cell_angle_beta 90.00
_cell_angle_gamma 90.00
_symmetry_space_group_name_H-M 'P m -3 m'
_symmetry_Int_Tables_number 221
_symmetry_space_group_name_Hall '-P 4 2 3'
loop_
_atom_site_label
_atom_site_type_symbol
_atom_site_fract_x
_atom_site_fract_y
_atom_site_fract_z
K1 K 0.0000 0.0000 0.5000
Mn1 Mn 0.5000 0.5000 0.5000
I1 I 0.0000 0.0000 0.0000
```

## Properties
ΔE_f (raw) = 0.11 eV/atom
Polymorph energy (0 for the lowest one) = 0 meV per atom

Here is a relaxed Cs3LaBr6 crystal from Alexandria via LeMat-Bulk. Energies are from GGA-PBE.

The structure in CIF format:
```
data_Cs3LaBr6
_cell_length_a 28.6777
_cell_length_b 8.9128
_cell_length_c 14.3205
_cell_angle_alpha 90.00
_cell_angle_beta 99.64
_cell_angle_gamma 90.00
_symmetry_space_group_name_H-M 'C 1 2/c 1'
_symmetry_Int_Tables_number 15
_symmetry_space_group_name_Hall '-C 2yc'
loop_
_atom_site_label
_atom_site_type_symbol
_atom_site_fract_x
_atom_site_fract_y
_atom_site_fract_z
Cs1 Cs 0.0552 0.2301 0.4416
Cs2 Cs 0.1543 0.3207 0.1470
Cs3 Cs 0.1633 0.1852 0.8052
La1 La 0.0000 0.1995 0.7500
La2 La 0.2500 0.2500 0.5000
Br1 Br 0.0564 0.2056 0.9405
Br2 Br 0.0617 0.0479 0.2051
Br3 Br 0.0615 0.4200 0.6776
Br4 Br 0.1694 0.4475 0.4229
Br5 Br 0.1778 0.0305 0.5340
Br6 Br 0.2501 0.1150 0.3103
```

## Properties
ΔE_f (raw) = -1.92 eV/atom
Polymorph energy (0 for the lowest one) = 0 meV per atom

Here is a relaxed KTl4HgPd2 crystal from Alexandria via LeMat-Bulk. Energies are from GGA-PBE.

The structure in CIF format:
```
data_KTl4HgPd2
_cell_length_a 4.9722
_cell_length_b 4.9722
_cell_length_c 9.1881
_cell_angle_alpha 90.00
_cell_angle_beta 90.00
_cell_angle_gamma 90.00
_symmetry_space_group_name_H-M 'P 4/m m m'
_symmetry_Int_Tables_number 123
_symmetry_space_group_name_Hall '-P 4 2'
loop_
_atom_site_label
_atom_site_type_symbol
_atom_site_fract_x
_atom_site_fract_y
_atom_site_fract_z
K1 K 0.0000 0.0000 0.0000
Tl1 Tl 0.0000 0.5000 0.2910
Hg1 Hg 0.0000 0.0000 0.5000
Pd1 Pd 0.5000 0.5000 0.1462
```

## Properties
Formation energy from the elements = -0.05 eV/atom

Here is a relaxed K3TiRe crystal from Alexandria via LeMat-Bulk. Energies are from GGA-PBE.

The structure in CIF format:
```
data_K3TiRe
_cell_length_a 6.6307
_cell_length_b 6.6307
_cell_length_c 6.6307
_cell_angle_alpha 90.00
_cell_angle_beta 90.00
_cell_angle_gamma 90.00
_symmetry_space_group_name_H-M 'P m -3 m'
_symmetry_Int_Tables_number 221
_symmetry_space_group_name_Hall '-P 4 2 3'
loop_
_atom_site_label
_atom_site_type_symbol
_atom_site_fract_x
_atom_site_fract_y
_atom_site_fract_z
K1 K 0.0000 0.0000 0.5000
Ti1 Ti 0.0000 0.0000 0.0000
Re1 Re 0.5000 0.5000 0.5000
```

## Properties
Formation energy from the elements = 2.36 eV/atom

Here is a relaxed BaRhPb4 crystal from Alexandria via LeMat-Bulk. Energies are from GGA-PBE.

The structure in CIF format:
```
data_BaRhPb4
_cell_length_a 9.6660
_cell_length_b 4.6056
_cell_length_c 8.1758
_cell_angle_alpha 90.00
_cell_angle_beta 90.00
_cell_angle_gamma 90.00
_symmetry_space_group_name_H-M 'P m m a'
_symmetry_Int_Tables_number 51
_symmetry_space_group_name_Hall '-P 2a 2a'
loop_
_atom_site_label
_atom_site_type_symbol
_atom_site_fract_x
_atom_site_fract_y
_atom_site_fract_z
Ba1 Ba 0.2500 0.0000 0.1096
Rh1 Rh 0.2500 0.0000 0.6614
Pb1 Pb 0.0000 0.0000 0.5000
Pb2 Pb 0.0843 0.5000 0.8040
Pb3 Pb 0.2500 0.5000 0.4387
```

## Properties
Formation energy from the elements = -0.26 eV/atom
Polymorph energy (0 for the lowest one) = 55 meV per atom

Here is a relaxed SrFePt2 crystal from Alexandria via LeMat-Bulk. Energies are from GGA-PBE.

The structure in CIF format:
```
data_SrFePt2
_cell_length_a 4.3902
_cell_length_b 4.3902
_cell_length_c 3.8955
_cell_angle_alpha 90.00
_cell_angle_beta 90.00
_cell_angle_gamma 90.00
_symmetry_space_group_name_H-M 'P 4/m m m'
_symmetry_Int_Tables_number 123
_symmetry_space_group_name_Hall '-P 4 2'
loop_
_atom_site_label
_atom_site_type_symbol
_atom_site_fract_x
_atom_site_fract_y
_atom_site_fract_z
Sr1 Sr 0.0000 0.0000 0.0000
Fe1 Fe 0.5000 0.5000 0.0000
Pt1 Pt 0.0000 0.5000 0.5000
```

## Properties
Formation energy from the elements = -0.05 eV/atom

Here is a relaxed TlHgBr2 crystal from Alexandria via LeMat-Bulk. Energies are from GGA-PBE.

The structure in CIF format:
```
data_TlHgBr2
_cell_length_a 17.0649
_cell_length_b 4.5962
_cell_length_c 8.2372
_cell_angle_alpha 90.00
_cell_angle_beta 110.81
_cell_angle_gamma 90.00
_symmetry_space_group_name_H-M 'C 1 2/c 1'
_symmetry_Int_Tables_number 15
_symmetry_space_group_name_Hall '-C 2yc'
loop_
_atom_site_label
_atom_site_type_symbol
_atom_site_fract_x
_atom_site_fract_y
_atom_site_fract_z
Tl1 Tl 0.2500 0.2500 0.0000
Hg1 Hg 0.0000 0.0000 0.0000
Br1 Br 0.1315 0.3030 0.2534
```

## Properties
ΔE_f (raw) = -0.44 eV/atom
Polymorph energy (0 for the lowest one) = 84 meV per atom

Here is a relaxed K2SrBr crystal from Alexandria via LeMat-Bulk. Energies are from GGA-PBE.

The structure in CIF format:
```
data_K2SrBr
_cell_length_a 4.0941
_cell_length_b 4.0941
_cell_length_c 11.6806
_cell_angle_alpha 90.00
_cell_angle_beta 90.00
_cell_angle_gamma 90.00
_symmetry_space_group_name_H-M 'P 4 m m'
_symmetry_Int_Tables_number 99
_symmetry_space_group_name_Hall 'P 4 -2'
loop_
_atom_site_label
_atom_site_type_symbol
_atom_site_fract_x
_atom_site_fract_y
_atom_site_fract_z
K1 K 0.0000 0.0000 0.0000
K2 K 0.5000 0.5000 0.3264
Sr1 Sr 0.0000 0.0000 0.6246
Br1 Br 0.5000 0.5000 0.8007
```

## Properties
ΔE_f (raw) = -0.66 eV/atom
Polymorph energy (0 for the lowest one) = 116 meV per atom

Here is a relaxed NbHg2O crystal from Alexandria via LeMat-Bulk. Energies are from GGA-PBE.

The structure in CIF format:
```
data_NbHg2O
_cell_length_a 9.9962
_cell_length_b 9.9962
_cell_length_c 3.9013
_cell_angle_alpha 90.00
_cell_angle_beta 90.00
_cell_angle_gamma 90.00
_symmetry_space_group_name_H-M 'I -4 2 d'
_symmetry_Int_Tables_number 122
_symmetry_space_group_name_Hall 'I -4 2bw'
loop_
_atom_site_label
_atom_site_type_symbol
_atom_site_fract_x
_atom_site_fract_y
_atom_site_fract_z
Nb1 Nb 0.0000 0.0000 0.0000
Hg1 Hg 0.1314 0.7500 0.6250
O1 O 0.0000 0.0000 0.5000
```

## Properties
ΔE_f (raw) = -0.15 eV/atom

Here is a relaxed Mg2SbCl crystal from Alexandria via LeMat-Bulk. Energies are from GGA-PBE.

The structure in CIF format:
```
data_Mg2SbCl
_cell_length_a 6.0859
_cell_length_b 6.0859
_cell_length_c 13.2996
_cell_angle_alpha 90.00
_cell_angle_beta 90.00
_cell_angle_gamma 90.00
_symmetry_space_group_name_H-M 'I -4 2 d'
_symmetry_Int_Tables_number 122
_symmetry_space_group_name_Hall 'I -4 2bw'
loop_
_atom_site_label
_atom_site_type_symbol
_atom_site_fract_x
_atom_site_fract_y
_atom_site_fract_z
Mg1 Mg 0.2464 0.2500 0.1250
Sb1 Sb 0.0000 0.0000 0.5000
Cl1 Cl 0.0000 0.0000 0.0000
```

## Properties
ΔE_f (raw) = -0.74 eV/atom
Polymorph energy (0 for the lowest one) = 3 meV per atom

Here is a relaxed MnAu2Cl crystal from Alexandria via LeMat-Bulk. Energies are from GGA-PBE.

The structure in CIF format:
```
data_MnAu2Cl
_cell_length_a 3.0390
_cell_length_b 3.0390
_cell_length_c 8.8327
_cell_angle_alpha 90.00
_cell_angle_beta 90.00
_cell_angle_gamma 90.00
_symmetry_space_group_name_H-M 'P 4 m m'
_symmetry_Int_Tables_number 99
_symmetry_space_group_name_Hall 'P 4 -2'
loop_
_atom_site_label
_atom_site_type_symbol
_atom_site_fract_x
_atom_site_fract_y
_atom_site_fract_z
Mn1 Mn 0.0000 0.0000 0.0000
Au1 Au 0.0000 0.0000 0.4361
Au2 Au 0.5000 0.5000 0.2092
Cl1 Cl 0.5000 0.5000 0.8318
```

## Properties
ΔE_f (raw) = -0.11 eV/atom
Polymorph energy (0 for the lowest one) = 58 meV per atom